PBE Ce5CdSi3, optimized geometry; calculated volume = 24.03 Å³/atom; formation energy from raw total energies = -0.457 eV/atom; magnetic moment = 5.4 μB per formula unit; space group = P6_3/mcm (193); DOS at the Fermi energy = 34.1 states/eV/cell
1.0
-3.649 -2.912 4.108
-3.742 -4.695 -6.653
7.255 -3.174 4.194
Ce Cd Si
10 2 6
Cartesian
-1.901 -5.644 -0.983 Ce
0.184 -3.184 0.260 Ce
-3.487 -3.958 -3.550 Ce
-3.905 -3.650 1.004 Ce
-4.215 -7.870 -2.263 Ce
-0.077 -4.188 -3.037 Ce
4.079 -2.912 3.912 Ce
1.765 -5.138 2.633 Ce
-0.320 -7.597 1.390 Ce
3.590 -3.681 0.579 Ce
-1.824 -1.456 2.054 Cd
0.000 0.000 0.000 Cd
1.660 -1.854 2.514 Si
-1.796 -8.928 -0.865 Si
-5.152 -5.215 -1.213 Si
1.355 -5.807 -0.560 Si
-1.491 -4.975 2.209 Si
-2.239 -2.393 -1.332 Si

***

PBE AcTbCdPt, optimized geometry; calculated volume = 26.98 Å³/atom; magnetic moment = 0.0 μB per formula unit; space group = F-43m (216); energy of formation from the pure elements = -0.59 eV per atom; DOS at the Fermi energy = 3.2 states/eV/cell
1.0
5.344 0.000 0.000
2.672 4.628 0.000
2.672 1.543 4.364
Tb Cd Ac Pt
1 1 1 1
Cartesian
0.000 0.000 0.000 Tb
2.672 1.543 1.091 Cd
5.344 3.085 2.182 Ac
8.016 4.628 3.273 Pt

***

PBE Ce5PmTe8, optimized geometry; calculated volume = 30.85 Å³/atom; formation energy from raw total energies = -1.400 eV/atom; magnetic moment = 7.0 μB per formula unit; space group = I-4 (82); DOS at the Fermi energy = 35.0 states/eV/cell
1.0
7.794 0.000 -2.698
-3.881 6.728 -2.775
-0.033 0.000 8.248
Te Ce Pm
8 5 1
Cartesian
3.274 2.711 4.410 Te
1.350 4.017 -1.103 Te
1.336 6.060 3.028 Te
-1.948 5.046 1.939 Te
-1.928 5.042 -2.200 Te
7.178 0.668 3.060 Te
5.086 1.683 0.304 Te
1.176 1.686 1.662 Te
3.417 5.893 -2.723 Ce
-1.458 2.526 -0.016 Ce
3.881 0.000 2.775 Ce
3.394 4.203 1.400 Ce
2.408 0.835 6.889 Ce
-0.016 3.364 4.124 Pm

***

PBE LaTaNi, optimized geometry; calculated volume = 23.23 Å³/atom; magnetic moment = 0.0 μB per formula unit; space group = P-6m2 (187); distance to the lowest polymorph of the same formula = 5.4 kJ per mole of atoms; energy of formation from the pure elements = 0.13 eV per atom; DOS at the Fermi energy = 1.9 states/eV/cell
1.0
4.172 0.000 0.000
-2.086 3.613 0.000
0.000 0.000 4.624
La Ni Ta
1 1 1
Cartesian
0.000 0.000 0.000 La
2.086 1.204 2.312 Ni
0.000 2.409 2.312 Ta

***

PBE LuTh, optimized geometry; calculated volume = 31.11 Å³/atom; magnetic moment = 0.0 μB per formula unit; space group = P2_1/m (11); distance to the lowest polymorph of the same formula = 0.0 kJ per mole of atoms; energy of formation from the pure elements = 0.04 eV per atom; DOS at the Fermi energy = 7.1 states/eV/cell
1.0
3.539 0.000 0.000
0.000 3.527 0.301
0.000 -0.848 9.899
Th Lu
2 2
Cartesian
2.655 2.325 3.927 Th
0.885 0.354 6.273 Th
2.655 1.906 8.893 Lu
0.885 0.773 1.307 Lu

***

PBE Ba4SrTe5, optimized geometry; calculated volume = 43.28 Å³/atom; formation energy from raw total energies = -1.772 eV/atom; magnetic moment = 0.0 μB per formula unit; space group = I4/mmm (139); DOS at the Fermi energy = 0.0 states/eV/cell
1.0
-4.221 -0.363 -2.596
-1.256 -4.038 2.607
-5.379 12.333 11.778
Te Ba Sr
5 4 1
Cartesian
-1.577 1.968 2.289 Te
-2.739 -2.201 0.006 Te
-5.982 1.848 4.714 Te
-9.279 5.963 9.500 Te
-4.874 6.083 7.075 Te
-7.624 3.898 7.098 Ba
-6.516 8.134 9.460 Ba
-4.339 -0.202 2.330 Ba
-3.231 4.033 4.691 Ba
0.000 0.000 0.000 Sr

***

PBE ZrIrN2O, optimized geometry; calculated volume = 11.77 Å³/atom; formation energy from raw total energies = 0.047 eV/atom; magnetic moment = 0.0 μB per formula unit; space group = P4/mmm (123); DOS at the Fermi energy = 3.0 states/eV/cell
1.0
-3.380 1.247 1.453
-1.894 -1.743 -2.910
-0.283 -3.252 2.132
Zr O Ir N
1 1 1 2
Cartesian
-2.779 -1.874 0.338 Zr
-0.142 -1.626 1.066 O
0.000 0.000 0.000 Ir
-0.947 -0.871 -1.455 N
-1.690 0.624 0.727 N

***

PBE Na3Cu2Sn4, optimized geometry; calculated volume = 25.20 Å³/atom; magnetic moment = 0.0 μB per formula unit; space group = C2/m (12); distance to the lowest polymorph of the same formula = 0.0 kJ per mole of atoms; energy of formation from the pure elements = -0.09 eV per atom; DOS at the Fermi energy = 3.2 states/eV/cell
1.0
4.679 0.000 0.000
-2.339 5.541 0.024
0.000 -2.219 8.738
Na Sn Cu
3 4 2
Cartesian
0.000 0.000 0.000 Na
0.000 3.574 2.717 Na
2.339 -0.253 6.044 Na
2.339 2.242 0.719 Sn
0.000 1.079 8.042 Sn
0.000 0.234 3.666 Sn
2.339 3.087 5.095 Sn
2.339 1.219 3.100 Cu
0.000 2.103 5.661 Cu

***

PBE NdGdHgGe, optimized geometry; calculated volume = 25.76 Å³/atom; magnetic moment = 7.4 μB per formula unit; space group = F-43m (216); energy of formation from the pure elements = -0.57 eV per atom; DOS at the Fermi energy = 3.4 states/eV/cell
1.0
-4.195 2.291 -2.200
-2.457 -2.326 -4.030
-4.789 -2.072 0.681
Gd Ge Nd Hg
1 1 1 1
Cartesian
-5.721 -1.054 -2.775 Gd
-2.860 -0.527 -1.387 Ge
0.000 0.000 0.000 Nd
-8.581 -1.580 -4.162 Hg

***

PBE KZr3Zn, optimized geometry; calculated volume = 23.81 Å³/atom; magnetic moment = 1.6 μB per formula unit; space group = Pm-3m (221); distance to the lowest polymorph of the same formula = 98.9 kJ per mole of atoms; energy of formation from the pure elements = 1.94 eV per atom; DOS at the Fermi energy = 7.1 states/eV/cell
1.0
4.919 0.000 0.000
0.000 4.919 0.000
0.000 0.000 4.919
Zr Zn K
3 1 1
Cartesian
0.000 0.000 2.460 Zr
0.000 2.460 0.000 Zr
2.460 0.000 0.000 Zr
2.460 2.460 2.460 Zn
0.000 0.000 0.000 K